No. 1
Entry from Alexandria: an optimized crystal structure of LiEuInCu (PBE-GGA).

abc: 6.9458 6.9458 6.9458
angles: 90.00 90.00 90.00
With the nearest neighbours (Å) after each atom.
Space group F-43m (No. 216)
Unique sites:
Li1 0.0000 0.0000 0.0000 [4 per cell]  4 Eu 3.01, 4 In 3.01
Eu1 0.2500 0.2500 0.7500 [4 per cell]  4 Li 3.01, 4 Cu 3.01
In1 0.2500 0.2500 0.2500 [4 per cell]  4 Li 3.01, 4 Cu 3.01
Cu1 0.0000 0.0000 0.5000 [4 per cell]  4 In 3.01, 4 Eu 3.01

Computed properties:
The total magnetization comes out at 1.732 μB/atom. As for the formation energy from the elements: -19.68 kJ per mole of atoms. As for the energy: -4.96 eV per atom.



No. 2
Entry from Alexandria: an optimized crystal structure of BiRh2O (PBE-GGA).

abc: 6.2736 6.2736 6.2736
angles: 90.00 90.00 90.00
With the nearest neighbours (Å) after each atom.
Space group Fm-3m (No. 225)
Unique sites:
Bi1 0.0000 0.0000 0.0000 [4 per cell]  8 Rh 2.72
Rh1 0.2500 0.2500 0.2500 [8 per cell]  4 O 2.72, 4 Bi 2.72
O1 0.0000 0.0000 0.5000 [4 per cell]  8 Rh 2.72

Computed properties:
The total magnetization comes out at 0.271 μB/atom. The energy above the most stable polymorph in this dataset is 403 meV/atom. As for the energy: -5.61 eV per atom.



No. 3
Entry from Alexandria: an optimized crystal structure of BaPaCr2S8 (PBE-GGA).

abc: 6.1943 6.1943 26.7194
angles: 90.00 90.00 120.00
With the nearest neighbours (Å) after each atom.
Space group R-3 (No. 148, hexagonal axes)
Unique sites:
Ba1 0.0000 0.0000 0.0000 [3 per cell]  12 S 3.46-3.58
Pa1 0.0000 0.0000 0.5000 [3 per cell]  6 S 2.67
Cr1 0.0000 0.0000 0.2509 [6 per cell]  4 S 2.07-2.17
S1 0.0000 0.0000 0.3284 [6 per cell]  1 Cr 2.07
S2 0.0036 0.6780 0.8944 [18 per cell]  1 Cr 2.17

Computed properties:
The total magnetization comes out at 0.250 μB/atom. As for the energy: -6.23 eV per atom.